No. 1
! Sr3Cl PBE optimized geometry; values from VASP
&SYSTEM
  ibrav = 0, nat = 4, ntyp = 2
/
ATOMIC_SPECIES
Sr 87.62 Sr.upf
Cl 35.45 Cl.upf
CELL_PARAMETERS angstrom
4.240 0.000 0.000
0.000 4.049 0.000
-0.018 0.000 10.914
ATOMIC_POSITIONS crystal
Sr 0.000 0.000 0.000
Sr 0.499 0.500 0.713
Sr 0.501 0.500 0.287
Cl 0.500 0.000 0.500
! Space-group type ... No. 10
! Formation energy without anion corrections ... -0.805 eV/atom
! Offset from the most stable computed form ... 0.021 eV/atom
! Energy ... -2.5281 eV/atom


No. 2
! Na2OsPdO6 PBE optimized geometry; values from VASP
&SYSTEM
  ibrav = 0, nat = 10, ntyp = 4
/
ATOMIC_SPECIES
Na 22.99 Na.upf
Os 190.23 Os.upf
Pd 106.42 Pd.upf
O 16.00 O.upf
CELL_PARAMETERS angstrom
5.425 0.000 0.000
-2.602 4.762 0.000
-0.160 -3.109 4.528
ATOMIC_POSITIONS crystal
Na 0.250 0.017 0.267
Na 0.750 0.983 0.733
Os 0.000 0.500 0.500
Pd 0.500 0.500 0.000
O 0.178 0.967 0.668
O 0.236 0.610 0.849
O 0.302 0.514 0.334
O 0.698 0.486 0.666
O 0.764 0.390 0.151
O 0.822 0.033 0.332
! Space-group type ... No. 2
! Formation energy without anion corrections ... -1.031 eV/atom
! Energy ... -5.9123 eV/atom